1.
Compound: Pm4Pr2Ho
Source: the Alexandria database
Functional: PBE
Structure: optimized geometry Values from VASP.

Values from the calculation:
- energy relative to the lowest polymorph listed for this composition (eV/f.u.) = 0.91
- total DFT energy (no corrections) (eV/atom) = -4.59
- magnetization (Bohr magnetons per cell) = 0.00
- formation enthalpy at 0 K (meV/atom) = 143

Cell and atoms, written as Quantum ESPRESSO input:
```
&SYSTEM
  ibrav = 0, nat = 14, ntyp = 3
/
ATOMIC_SPECIES
Pm 145.00 Pm.upf
Pr 140.91 Pr.upf
Ho 164.93 Ho.upf
CELL_PARAMETERS angstrom
2.714 -5.773 0.000
2.714 5.773 0.000
0.000 0.000 15.628
ATOMIC_POSITIONS crystal
Pm 0.104 0.896 0.806
Pm 0.206 0.794 0.570
Pm 0.294 0.706 0.070
Pm 0.396 0.604 0.306
Pm 0.604 0.396 0.694
Pm 0.706 0.294 0.930
Pm 0.794 0.206 0.430
Pm 0.896 0.104 0.194
Pr 0.104 0.896 0.344
Pr 0.396 0.604 0.844
Pr 0.604 0.396 0.156
Pr 0.896 0.104 0.656
Ho 0.000 0.000 0.000
Ho 0.500 0.500 0.500
```


2.
Compound: PmPr4Ho
Source: the Alexandria database
Functional: PBE
Structure: optimized geometry Values from VASP.

Values from the calculation:
- energy relative to the lowest polymorph listed for this composition (eV/f.u.) = 0.93
- total DFT energy (no corrections) (eV/atom) = -4.57
- magnetization (Bohr magnetons per cell) = 0.00
- formation enthalpy at 0 K (meV/atom) = 172

Cell and atoms, written as Quantum ESPRESSO input:
```
&SYSTEM
  ibrav = 0, nat = 6, ntyp = 3
/
ATOMIC_SPECIES
Pm 145.00 Pm.upf
Pr 140.91 Pr.upf
Ho 164.93 Ho.upf
CELL_PARAMETERS angstrom
5.970 -1.756 0.000
5.970 1.756 0.000
-5.796 0.000 10.220
ATOMIC_POSITIONS crystal
Pm 0.000 0.000 0.000
Pr 0.186 0.186 0.842
Pr 0.189 0.189 0.346
Pr 0.811 0.811 0.654
Pr 0.814 0.814 0.158
Ho 0.000 0.000 0.500
```


3.
Compound: Pm2PrHo9
Source: the Alexandria database
Functional: PBE
Structure: optimized geometry Values from VASP.

Values from the calculation:
- energy relative to the lowest polymorph listed for this composition (eV/f.u.) = 0.00
- total DFT energy (no corrections) (eV/atom) = -4.57
- magnetization (Bohr magnetons per cell) = 0.00
- formation enthalpy at 0 K (meV/atom) = 54

Cell and atoms, written as Quantum ESPRESSO input:
```
&SYSTEM
  ibrav = 0, nat = 12, ntyp = 3
/
ATOMIC_SPECIES
Pm 145.00 Pm.upf
Pr 140.91 Pr.upf
Ho 164.93 Ho.upf
CELL_PARAMETERS angstrom
11.263 0.000 0.000
-5.631 9.754 0.000
0.000 0.000 3.519
ATOMIC_POSITIONS crystal
Pm 0.333 0.667 0.000
Pm 0.667 0.333 0.000
Pr 0.000 0.000 0.000
Ho 0.000 0.500 0.000
Ho 0.177 0.353 0.500
Ho 0.177 0.823 0.500
Ho 0.353 0.177 0.500
Ho 0.500 0.000 0.000
Ho 0.500 0.500 0.000
Ho 0.647 0.823 0.500
Ho 0.823 0.177 0.500
Ho 0.823 0.647 0.500
```


4.
Compound: Pm8Pr2Ho3
Source: the Alexandria database
Functional: PBE
Structure: optimized geometry Values from VASP.

Values from the calculation:
- energy relative to the lowest polymorph listed for this composition (eV/f.u.) = 2.47
- total DFT energy (no corrections) (eV/atom) = -4.51
- magnetization (Bohr magnetons per cell) = 0.00
- formation enthalpy at 0 K (meV/atom) = 208

Cell and atoms, written as Quantum ESPRESSO input:
```
&SYSTEM
  ibrav = 0, nat = 13, ntyp = 3
/
ATOMIC_SPECIES
Pm 145.00 Pm.upf
Pr 140.91 Pr.upf
Ho 164.93 Ho.upf
CELL_PARAMETERS angstrom
10.412 -3.854 0.000
10.412 3.854 0.000
-0.001 0.000 5.681
ATOMIC_POSITIONS crystal
Pm 0.102 0.690 0.000
Pm 0.167 0.167 0.500
Pm 0.310 0.898 0.000
Pm 0.371 0.371 0.500
Pm 0.629 0.629 0.500
Pm 0.690 0.102 0.000
Pm 0.833 0.833 0.500
Pm 0.898 0.310 0.000
Pr 0.260 0.260 0.001
Pr 0.740 0.740 0.999
Ho 0.214 0.786 0.500
Ho 0.500 0.500 0.000
Ho 0.786 0.214 0.500
```


5.
Compound: PmPr12Ho2
Source: the Alexandria database
Functional: PBE
Structure: optimized geometry Values from VASP.

Values from the calculation:
- total DFT energy (no corrections) (eV/atom) = -4.60
- magnetization (Bohr magnetons per cell) = 0.00
- formation enthalpy at 0 K (meV/atom) = 152

Cell and atoms, written as Quantum ESPRESSO input:
```
&SYSTEM
  ibrav = 0, nat = 30, ntyp = 3
/
ATOMIC_SPECIES
Pm 145.00 Pm.upf
Pr 140.91 Pr.upf
Ho 164.93 Ho.upf
CELL_PARAMETERS angstrom
3.630 -5.872 0.000
3.630 5.872 0.000
0.000 0.000 25.256
ATOMIC_POSITIONS crystal
Pm 0.250 0.750 0.999
Pm 0.750 0.250 0.001
Pr 0.002 0.502 0.868
Pr 0.003 0.997 0.074
Pr 0.020 0.520 0.415
Pr 0.024 0.976 0.560
Pr 0.250 0.250 0.199
Pr 0.250 0.250 0.324
Pr 0.250 0.250 0.676
Pr 0.250 0.250 0.801
Pr 0.476 0.524 0.560
Pr 0.480 0.980 0.415
Pr 0.497 0.503 0.074
Pr 0.498 0.998 0.868
Pr 0.502 0.002 0.132
Pr 0.503 0.497 0.926
Pr 0.520 0.020 0.585
Pr 0.524 0.476 0.440
Pr 0.750 0.750 0.199
Pr 0.750 0.750 0.324
Pr 0.750 0.750 0.676
Pr 0.750 0.750 0.801
Pr 0.976 0.024 0.440
Pr 0.980 0.480 0.585
Pr 0.997 0.003 0.926
Pr 0.998 0.498 0.132
Ho 0.250 0.750 0.267
Ho 0.250 0.750 0.729
Ho 0.750 0.250 0.271
Ho 0.750 0.250 0.733
```


6.
Compound: Pm2Pr2Ho15
Source: the Alexandria database
Functional: PBE
Structure: optimized geometry Values from VASP.

Values from the calculation:
- total DFT energy (no corrections) (eV/atom) = -4.35
- magnetization (Bohr magnetons per cell) = 0.01
- formation enthalpy at 0 K (meV/atom) = 271

Cell and atoms, written as Quantum ESPRESSO input:
```
&SYSTEM
  ibrav = 0, nat = 19, ntyp = 3
/
ATOMIC_SPECIES
Pm 145.00 Pm.upf
Pr 140.91 Pr.upf
Ho 164.93 Ho.upf
CELL_PARAMETERS angstrom
5.732 3.309 5.635
-5.732 3.309 5.635
0.000 -6.619 5.635
ATOMIC_POSITIONS crystal
Pm 0.150 0.150 0.150
Pm 0.850 0.850 0.850
Pr 0.387 0.387 0.387
Pr 0.613 0.613 0.613
Ho 0.000 0.500 0.500
Ho 0.157 0.500 0.843
Ho 0.157 0.843 0.500
Ho 0.166 0.166 0.693
Ho 0.166 0.693 0.166
Ho 0.307 0.834 0.834
Ho 0.500 0.000 0.500
Ho 0.500 0.157 0.843
Ho 0.500 0.500 0.000
Ho 0.500 0.843 0.157
Ho 0.693 0.166 0.166
Ho 0.834 0.307 0.834
Ho 0.834 0.834 0.307
Ho 0.843 0.157 0.500
Ho 0.843 0.500 0.157
```


7.
Compound: Pm5Pr4Ho2
Source: the Alexandria database
Functional: PBE
Structure: optimized geometry Values from VASP.

Values from the calculation:
- energy relative to the lowest polymorph listed for this composition (eV/f.u.) = 1.13
- total DFT energy (no corrections) (eV/atom) = -4.53
- magnetization (Bohr magnetons per cell) = 0.00
- formation enthalpy at 0 K (meV/atom) = 198

Cell and atoms, written as Quantum ESPRESSO input:
```
&SYSTEM
  ibrav = 0, nat = 11, ntyp = 3
/
ATOMIC_SPECIES
Pm 145.00 Pm.upf
Pr 140.91 Pr.upf
Ho 164.93 Ho.upf
CELL_PARAMETERS angstrom
-1.795 5.837 9.291
1.795 -5.837 9.291
1.795 5.837 -9.291
ATOMIC_POSITIONS crystal
Pm 0.000 0.000 0.000
Pm 0.111 0.320 0.791
Pm 0.471 0.680 0.791
Pm 0.529 0.320 0.209
Pm 0.889 0.680 0.209
Pr 0.259 0.500 0.759
Pr 0.410 0.910 0.500
Pr 0.590 0.090 0.500
Pr 0.741 0.500 0.241
Ho 0.204 0.704 0.500
Ho 0.796 0.296 0.500
```


8.
Compound: Pm4PrHo5
Source: the Alexandria database
Functional: PBE
Structure: optimized geometry Values from VASP.

Values from the calculation:
- energy relative to the lowest polymorph listed for this composition (eV/f.u.) = 0.00
- total DFT energy (no corrections) (eV/atom) = -4.65
- magnetization (Bohr magnetons per cell) = 0.00
- formation enthalpy at 0 K (meV/atom) = 17

Cell and atoms, written as Quantum ESPRESSO input:
```
&SYSTEM
  ibrav = 0, nat = 10, ntyp = 3
/
ATOMIC_SPECIES
Pm 145.00 Pm.upf
Pr 140.91 Pr.upf
Ho 164.93 Ho.upf
CELL_PARAMETERS angstrom
12.830 -1.798 0.000
12.830 1.798 0.000
-1.001 0.000 7.104
ATOMIC_POSITIONS crystal
Pm 0.102 0.102 0.299
Pm 0.102 0.102 0.803
Pm 0.898 0.898 0.197
Pm 0.898 0.898 0.701
Pr 0.500 0.500 0.500
Ho 0.298 0.298 0.399
Ho 0.298 0.298 0.899
Ho 0.500 0.500 0.000
Ho 0.702 0.702 0.101
Ho 0.702 0.702 0.601
```